Computed, not measured: a relaxed structure of LuFeB2 at the GGA-PBE level of DFT.

The space group is F-43m (No. 216) and the conventional cell measures 5.692, 5.692 and 5.692 Å, with angles of 90.00, 90.00 and 90.00 degrees. The inequivalent atoms are Lu at (0.000, 0.000, 0.000), Fe at (0.250, 0.250, 0.750), B at (0.000, 0.000, 0.500) and B at (0.250, 0.250, 0.250).

For the final energy, the calculation gives -5.625 eV per atom.